Below is crystalline LaHoGeRh at its relaxed geometry, with properties calculated at the PBE level.

Cell and atoms, written as POSCAR:
```
LaHoGeRh
1.0
-1.996 -2.204 -3.529
2.897 -3.546 0.576
-6.521 -4.293 6.369
Ho Ge La Rh
2 2 2 2
Cartesian
-3.261 -2.147 3.185
-2.810 -5.021 1.708
-6.776 -4.905 3.878
0.705 -2.263 1.014
-2.143 -1.855 -0.647
-3.929 -5.313 5.539
-5.240 -3.894 2.378
-0.832 -3.274 2.515
```

Summary:
**VASP energy**: -47.77 eV/cell
**DFT formation energy**: -0.6033 eV/atom
**Magnetization**: 0.00 μB/atom